! V4CrNi2 | Alexandria | GGA-PBE | relaxed; values from VASP
&SYSTEM
  ibrav = 0, nat = 7, ntyp = 3
/
ATOMIC_SPECIES
V 50.94 V.upf
Cr 52.00 Cr.upf
Ni 58.69 Ni.upf
CELL_PARAMETERS angstrom
-2.091 2.091 5.964
2.091 -2.091 5.964
2.091 2.091 -5.964
ATOMIC_POSITIONS crystal
V 0.000 0.500 0.500
V 0.195 0.195 0.000
V 0.500 0.000 0.500
V 0.805 0.805 0.000
Cr 0.000 0.000 0.000
Ni 0.386 0.386 0.000
Ni 0.614 0.614 0.000
! calculated formation energy = 0.79 eV/atom
! calculated volume = 104.27 Å³/cell
! final energy = -7.443 eV/atom
! density of states at the Fermi level = 10.06 states/eV/f.u.